Record 1
# PuAgI

An optimized crystal structure of PuAgI (GGA-PBE, the Alexandria database).

a b c (Å): 3.928 3.928 11.997
angles (deg): 90.04 90.04 90.00
Fractional positions:
Pu 0.249 0.249 0.289
Pu 0.751 0.751 0.711
Ag 0.250 0.750 0.500
Ag 0.750 0.250 0.500
I 0.251 0.251 0.852
I 0.749 0.749 0.148

- Total energy: -39.69 eV for the cell shown
- Formation energy from raw total energies: -1.1 eV/f.u.
- Magnetization: 2.06 μB/atom
- DOS at the Fermi energy: 3.142 states/eV per atom
- V: 30.86 Å³ per atom

---

Record 2
# PuAgI4

An optimized crystal structure of PuAgI4 (GGA-PBE, the Alexandria database).

a b c (Å): 7.487 4.440 7.618
angles (deg): 90.00 93.93 90.00
Fractional positions:
Pu 0.000 0.000 0.000
Ag 0.000 0.500 0.500
I 0.222 0.000 0.673
I 0.253 0.500 0.161
I 0.747 0.500 0.839
I 0.778 0.000 0.327

- Total energy: -27.99 eV for the cell shown
- Formation energy from raw total energies: -4.6 eV/f.u.
- Magnetization: 0.83 μB/atom
- DOS at the Fermi energy: 2.271 states/eV per atom
- V: 42.11 Å³ per atom

---

- total energy of number 2 (PuAgI4)?
  -27.99 eV for the cell shown

---

- Which formula does entry 1 have?
  PuAgI